1.
Compound: CaIn3S
Source: Alexandria
Functional: PBE-GGA
Structure: optimized geometry

Values from the calculation:
Relative energy among the computed polymorphs ... 0 meV/atom
Calculated volume ... 31.72 A^3/atom
ΔE_f (raw) ... 0.017 eV per atom
Total magnetic moment ... 0.00 μB per formula unit
E_tot ... -2.852 eV per atom

Cell lengths 5.4129, 5.4129, 5.4129 Å; angles 90.00, 90.00, 90.00 degrees
Last column: nearest neighbours and their distance in Å.
Fractional positions:
1 In 0.5000 0.0000 0.0000  2 S 2.71
2 In 0.0000 0.0000 0.5000  2 S 2.71
3 In 0.0000 0.5000 0.0000  2 S 2.71
4 S 0.0000 0.0000 0.0000  6 In 2.71
5 Ca 0.5000 0.5000 0.5000  12 In 3.83

2.
Compound: Ca2InS3
Source: Alexandria
Functional: PBE-GGA
Structure: optimized geometry

Values from the calculation:
Calculated volume ... 28.45 A^3/atom
ΔE_f (raw) ... -1.446 eV per atom
Total magnetic moment ... 0.00 μB per formula unit
E_tot ... -4.634 eV per atom

Cell lengths 5.5845, 8.3424, 8.3424 Å; angles 118.55, 90.00, 90.00 degrees
Last column: nearest neighbours and their distance in Å.
Fractional positions:
1 In 0.9930 0.8323 0.8323  5 S 2.79-2.86
2 In 0.4930 0.1677 0.1677  5 S 2.79-2.86
3 S 0.4930 0.8325 0.8325  2 Ca 2.79, 3 In 2.79-2.86
4 S 0.9930 0.4936 0.8296  4 Ca 2.79, 1 In 2.82
5 S 0.9930 0.8296 0.4936  4 Ca 2.79, 1 In 2.82
6 S 0.4930 0.5064 0.1704  4 Ca 2.79, 1 In 2.82
7 S 0.9930 0.1675 0.1675  2 Ca 2.79, 3 In 2.79-2.86
8 S 0.4930 0.1704 0.5064  4 Ca 2.79, 1 In 2.82
9 Ca 0.9930 0.1675 0.5014  5 S 2.79
10 Ca 0.9930 0.5014 0.1675  5 S 2.79
11 Ca 0.4930 0.8325 0.4986  5 S 2.79
12 Ca 0.4930 0.4986 0.8325  5 S 2.79

3.
Compound: CaInS2
Source: Alexandria
Functional: PBE-GGA
Structure: optimized geometry

Values from the calculation:
Calculated volume ... 31.25 A^3/atom
ΔE_f (raw) ... -1.048 eV per atom
Total magnetic moment ... 0.00 μB per formula unit
E_tot ... -4.297 eV per atom

Cell lengths 6.1357, 6.1357, 7.9317 Å; angles 67.25, 67.25, 90.00 degrees
Last column: nearest neighbours and their distance in Å.
Fractional positions:
1 S 0.8750 0.8824 0.7500  2 In 2.71, 2 Ca 2.76
2 S 0.3750 0.3676 0.7500  2 In 2.71, 2 Ca 2.76
3 S 0.6324 0.1250 0.2500  2 In 2.71, 2 Ca 2.76
4 S 0.1176 0.6250 0.2500  2 In 2.71, 2 Ca 2.76
5 Ca 0.2500 0.7500 0.5000  4 S 2.76
6 Ca 0.5000 0.5000 0.0000  4 S 2.76
7 In 0.0000 0.0000 0.0000  4 S 2.71
8 In 0.7500 0.2500 0.5000  4 S 2.71

4.
Compound: CaIn6S8
Source: Alexandria
Functional: PBE-GGA
Structure: optimized geometry

Values from the calculation:
Calculated volume ... 24.69 A^3/atom
ΔE_f (raw) ... -0.493 eV per atom
Total magnetic moment ... 0.00 μB per formula unit
E_tot ... -3.923 eV per atom

Cell lengths 7.2109, 7.2109, 7.2109 Å; angles 95.05, 95.05, 95.05 degrees
Last column: nearest neighbours and their distance in Å.
Fractional positions:
1 S 0.3714 0.1125 0.8266  3 In 2.56-2.80
2 S 0.1734 0.6286 0.8875  3 In 2.56-2.80
3 S 0.7381 0.7381 0.7381  3 In 2.63
4 S 0.8266 0.3714 0.1125  3 In 2.56-2.80
5 S 0.2619 0.2619 0.2619  3 In 2.63
6 S 0.1125 0.8266 0.3714  3 In 2.56-2.80
7 S 0.6286 0.8875 0.1734  3 In 2.56-2.80
8 S 0.8875 0.1734 0.6286  3 In 2.56-2.80
9 In 0.2159 0.3359 0.6178  4 S 2.56-2.80
10 In 0.3359 0.6178 0.2159  4 S 2.56-2.80
11 In 0.3822 0.7841 0.6641  4 S 2.56-2.80
12 In 0.7841 0.6641 0.3822  4 S 2.56-2.80
13 In 0.6178 0.2159 0.3359  4 S 2.56-2.80
14 In 0.6641 0.3822 0.7841  4 S 2.56-2.80
15 Ca 0.0000 0.0000 0.0000  8 S 2.97-3.13

5.
Compound: CaInS2
Source: Alexandria
Functional: PBE-GGA
Structure: optimized geometry

Values from the calculation:
Calculated volume ... 23.57 A^3/atom
ΔE_f (raw) ... -1.085 eV per atom
Total magnetic moment ... 0.00 μB per formula unit
E_tot ... -4.333 eV per atom

Cell lengths 3.9567, 3.9567, 7.3197 Å; angles 74.32, 74.32, 60.00 degrees
Last column: nearest neighbours and their distance in Å.
Fractional positions:
1 Ca 0.5004 0.5004 0.4988  6 S 2.86-2.89
2 S 0.0826 0.0826 0.7523  3 In 2.85, 3 Ca 2.89
3 S 0.2496 0.2496 0.2512  3 Ca 2.86, 3 In 2.89
4 In 0.6674 0.6674 0.9977  6 S 2.85-2.89

6.
Compound: Ca3InS
Source: Alexandria
Functional: PBE-GGA
Structure: optimized geometry

Values from the calculation:
Relative energy among the computed polymorphs ... 0 meV/atom
Calculated volume ... 31.01 A^3/atom
ΔE_f (raw) ... -0.939 eV per atom
Total magnetic moment ... 0.00 μB per formula unit
E_tot ... -3.513 eV per atom

Cell lengths 5.3722, 5.3722, 5.3722 Å; angles 90.00, 90.00, 90.00 degrees
Last column: nearest neighbours and their distance in Å.
Fractional positions:
1 Ca 0.0000 0.5000 0.0000  2 S 2.69
2 Ca 0.0000 0.0000 0.5000  2 S 2.69
3 Ca 0.5000 0.0000 0.0000  2 S 2.69
4 In 0.5000 0.5000 0.5000  12 Ca 3.80
5 S 0.0000 0.0000 0.0000  6 Ca 2.69

7.
Compound: CaInSe2S
Source: Alexandria
Functional: PBE-GGA
Structure: optimized geometry

Values from the calculation:
Calculated volume ... 27.39 A^3/atom
ΔE_f (raw) ... -0.212 eV per atom
Total magnetic moment ... 0.00 μB per formula unit
E_tot ... -3.379 eV per atom

Cell lengths 5.1929, 5.0790, 5.1929 Å; angles 90.00, 90.00, 90.00 degrees
Last column: nearest neighbours and their distance in Å.
Fractional positions:
1 In 0.0000 0.5000 0.0000  2 S 2.54
2 S 0.0000 0.0000 0.0000  2 In 2.54, 4 Se 2.60
3 Se 0.5000 0.0000 0.0000  2 S 2.60
4 Se 0.0000 0.0000 0.5000  2 S 2.60
5 Ca 0.5000 0.5000 0.5000  8 Se 3.63, 4 In 3.67

8.
Compound: CaIn4SnS8
Source: Alexandria
Functional: PBE-GGA
Structure: optimized geometry

Values from the calculation:
Calculated volume ... 25.60 A^3/atom
ΔE_f (raw) ... -0.687 eV per atom
Total magnetic moment ... 0.00 μB per formula unit
E_tot ... -4.257 eV per atom

Cell lengths 7.9538, 7.9538, 7.9915 Å; angles 60.16, 60.16, 60.00 degrees
Last column: nearest neighbours and their distance in Å.
Fractional positions:
1 In 0.6182 0.6182 0.1455  4 S 2.55-2.72
2 In 0.4932 0.0028 0.5011  6 S 2.61-2.77
3 In 0.0028 0.0028 0.5011  6 S 2.61-2.77
4 In 0.0028 0.4932 0.5011  6 S 2.61-2.77
5 Ca 0.3762 0.3762 0.8715  4 S 2.66-2.70
6 S 0.2386 0.2386 0.2841  3 In 2.66, 1 Ca 2.70
7 S 0.7570 0.7570 0.7290  4 In 2.72-2.77
8 S 0.2473 0.2473 0.7197  2 In 2.61, 1 Ca 2.66, 1 Sn 2.74
9 S 0.7500 0.2259 0.2742  3 In 2.55-2.71
10 S 0.2259 0.7500 0.2742  3 In 2.55-2.71
11 S 0.2473 0.7856 0.7197  2 In 2.61, 1 Ca 2.66, 1 Sn 2.74
12 S 0.7500 0.7500 0.2742  3 In 2.55-2.71
13 S 0.7856 0.2473 0.7197  2 In 2.61, 1 Ca 2.66, 1 Sn 2.74
14 Sn 0.0050 0.0050 0.9849  6 S 2.74-2.89